A relaxed NbP crystal, computed with GGA-PBE.

Calculated values
SG: No. 38
V (Å³/cell): 262.0
Calculated total energy (eV per atom): -8.174

The structure in POSCAR format:
```
NbP
1.0
-0.294 3.131 1.654
-10.587 -2.588 3.019
2.228 -2.697 5.501
Nb P
6 6
direct
0.000 0.294 0.898
0.000 0.794 0.398
0.500 0.000 0.573
0.000 0.206 0.398
0.500 0.500 0.073
0.000 0.706 0.898
0.500 0.788 0.664
0.500 0.288 0.164
0.000 0.000 0.306
0.500 0.212 0.664
0.000 0.500 0.806
0.500 0.712 0.164
```


A relaxed NbP crystal, computed with GGA-PBE.

Calculated values
SG: No. 223
V (Å³/cell): 321.0
Calculated total energy (eV per atom): -7.725

The structure in POSCAR format:
```
NbP
1.0
6.847 0.000 0.000
0.000 6.847 0.000
0.000 0.000 6.847
Nb P
6 6
direct
0.000 0.250 0.500
0.500 0.000 0.750
0.750 0.500 0.000
0.000 0.750 0.500
0.500 0.000 0.250
0.250 0.500 0.000
0.750 0.000 0.500
0.250 0.000 0.500
0.000 0.500 0.250
0.500 0.250 0.000
0.500 0.750 0.000
0.000 0.500 0.750
```


A relaxed NbP crystal, computed with GGA-PBE.

Calculated values
SG: No. 11
V (Å³/cell): 62.1
Calculated total energy (eV per atom): -8.487

The structure in POSCAR format:
```
NbP
1.0
-0.919 2.998 0.676
-3.485 -0.499 -2.527
-1.867 -2.997 3.166
P Nb
2 2
direct
0.595 0.250 0.185
0.405 0.750 0.815
0.125 0.750 0.254
0.875 0.250 0.746
```


A relaxed Nb3P crystal, computed with GGA-PBE.

Calculated values
SG: No. 86
V (Å³/cell): 532.4
Calculated total energy (eV per atom): -9.567

The structure in POSCAR format:
```
Nb3P
1.0
10.204 0.000 0.000
0.000 10.204 0.000
0.000 0.000 5.113
P Nb
8 24
direct
0.979 0.207 0.768
0.479 0.707 0.732
0.293 0.479 0.268
0.707 0.521 0.268
0.207 0.021 0.232
0.521 0.293 0.732
0.021 0.793 0.768
0.793 0.979 0.232
0.308 0.212 0.491
0.192 0.288 0.009
0.145 0.011 0.736
0.212 0.692 0.509
0.355 0.489 0.764
0.712 0.192 0.991
0.808 0.712 0.009
0.788 0.308 0.509
0.288 0.808 0.991
0.413 0.096 0.978
0.587 0.904 0.978
0.096 0.587 0.022
0.011 0.855 0.264
0.645 0.511 0.764
0.913 0.596 0.522
0.087 0.404 0.522
0.904 0.413 0.022
0.855 0.989 0.736
0.511 0.355 0.236
0.489 0.645 0.236
0.596 0.087 0.478
0.404 0.913 0.478
0.989 0.145 0.264
0.692 0.788 0.491
```


A relaxed NbP2 crystal, computed with GGA-PBE.

Calculated values
SG: No. 141
V (Å³/cell): 212.3
Calculated total energy (eV per atom): -7.233

The structure in POSCAR format:
```
NbP2
1.0
6.767 -1.552 1.633
-0.281 -3.164 6.386
-3.661 -1.493 -5.936
P Nb
8 4
direct
0.577 0.899 0.678
0.649 0.827 0.178
0.649 0.471 0.822
0.173 0.351 0.822
0.221 0.899 0.322
0.529 0.351 0.178
0.101 0.423 0.322
0.101 0.779 0.678
0.875 0.625 0.750
0.875 0.125 0.250
0.875 0.125 0.750
0.375 0.125 0.250
```


A relaxed NbP2 crystal, computed with GGA-PBE.

Calculated values
SG: No. 12
V (Å³/cell): 97.1
Calculated total energy (eV per atom): -7.651

The structure in POSCAR format:
```
NbP2
1.0
3.289 0.000 0.000
1.645 4.452 0.004
1.645 0.776 6.631
Nb P
2 4
direct
0.840 0.619 0.701
0.160 0.381 0.299
0.867 0.241 0.026
0.403 0.794 0.400
0.133 0.759 0.974
0.597 0.206 0.600
```


no.,magnetization (μB per formula unit)
1,0.000
2,0.002
3,0.000
4,0.000
5,0.000
6,0.000